(1)
A relaxed WAu3S crystal, computed with PBE.

Summary:
Uncorrected formation energy   7.9 eV/f.u.
Final energy   -3.81 eV/atom
Energy above the most stable polymorph in this dataset   0.1327 eV per atom
Magnetization   0.00 μB per formula unit

a b c (Å): 5.053 5.053 5.053
angles (deg): 90.00 90.00 90.00
Space group Pm-3m (No. 221)
Inequivalent atoms, fractional coordinates:
W1 0.000 0.000 0.000 (multiplicity 1)
Au1 0.000 0.000 0.500 (multiplicity 3)
S1 0.500 0.500 0.500 (multiplicity 1)

---

(2)
A relaxed BaGeTeN2 crystal, computed with PBE.

Summary:
Uncorrected formation energy   7.7 eV/f.u.
Final energy   -3.73 eV/atom
Energy above the most stable polymorph in this dataset   0.8356 eV per atom
Magnetization   2.29 μB per formula unit

a b c (Å): 4.645 4.645 7.163
angles (deg): 90.00 90.00 90.00
Space group P4/mmm (No. 123)
Inequivalent atoms, fractional coordinates:
Ba1 0.000 0.000 0.000 (multiplicity 1)
Ge1 0.500 0.500 0.500 (multiplicity 1)
Te1 0.000 0.000 0.500 (multiplicity 1)
N1 0.000 0.500 0.000 (multiplicity 2)

---

(3)
A relaxed MnZn2Pb crystal, computed with PBE.

Summary:
Final energy   -3.59 eV/atom
Calculated formation energy   0.27 eV per atom
Magnetization   3.61 μB per formula unit

a b c (Å): 4.142 4.142 4.258
angles (deg): 90.00 90.00 90.00
Space group P4/mmm (No. 123)
Inequivalent atoms, fractional coordinates:
Mn1 0.000 0.000 0.000 (multiplicity 1)
Zn1 0.000 0.500 0.500 (multiplicity 2)
Pb1 0.500 0.500 0.000 (multiplicity 1)

---

(4)
A relaxed Ce2HoErSe6 crystal, computed with PBE.

Summary:
Uncorrected formation energy   -17.9 eV/f.u.
Final energy   -5.99 eV/atom
Magnetization   2.00 μB per formula unit

a b c (Å): 7.3519 7.3519 19.4345
angles (deg): 90.00 90.00 120.00
Space group R3 (No. 146, hexagonal axes)
Inequivalent atoms, fractional coordinates:
Ce1 0.0000 0.0000 0.0000 (multiplicity 3)
Ce2 0.0000 0.0000 0.4995 (multiplicity 3)
Ho1 0.0000 0.0000 0.2009 (multiplicity 3)
Er1 0.0000 0.0000 0.7004 (multiplicity 3)
Se1 0.0458 0.3560 0.2720 (multiplicity 9)
Se2 0.0457 0.6916 0.7719 (multiplicity 9)

---

(5)
A relaxed Pr15NdSm4 crystal, computed with PBE.

Summary:
Final energy   -4.75 eV/atom
Calculated formation energy   0.01 eV per atom
Magnetization   0.00 μB per formula unit

a b c (Å): 5.236 5.236 26.076
angles (deg): 90.00 90.00 90.00
Space group P4/mmm (No. 123)
Inequivalent atoms, fractional coordinates:
Pr1 0.000 0.000 0.000 (multiplicity 1)
Pr2 0.000 0.000 0.200 (multiplicity 2)
Pr3 0.000 0.000 0.400 (multiplicity 2)
Pr4 0.000 0.500 0.100 (multiplicity 4)
Pr5 0.000 0.500 0.300 (multiplicity 4)
Pr6 0.000 0.500 0.500 (multiplicity 2)
Nd1 0.500 0.500 0.000 (multiplicity 1)
Sm1 0.500 0.500 0.200 (multiplicity 2)
Sm2 0.500 0.500 0.400 (multiplicity 2)

---

(6)
A relaxed Tm4MgAg crystal, computed with PBE.

Summary:
Final energy   -3.50 eV/atom
Calculated formation energy   0.22 eV per atom
Magnetization   0.00 μB per formula unit

a b c (Å): 4.980 4.980 7.376
angles (deg): 90.00 90.00 90.00
Space group P4/mmm (No. 123)
Inequivalent atoms, fractional coordinates:
Tm1 0.000 0.500 0.232 (multiplicity 4)
Mg1 0.000 0.000 0.500 (multiplicity 1)
Ag1 0.500 0.500 0.000 (multiplicity 1)